First-principles (GGA-PBE) data for a relaxed BiTe2Pd7 crystal, as listed in Alexandria.

## Properties
formation energy from raw total energies = -2.52 eV per formula unit
Fermi-level density of states = 5.12 states/eV/f.u.
E = -4.903 eV per atom

abc: 4.384 4.384 10.564
angles: 101.98 101.98 90.00
Fractional coordinates of all 10 atoms:
Te 0.670 0.670 0.341
Te 0.330 0.330 0.659
Pd 0.750 0.250 0.500
Pd 0.500 0.500 0.000
Pd 0.095 0.595 0.189
Pd 0.595 0.095 0.189
Pd 0.405 0.905 0.811
Pd 0.905 0.405 0.811
Pd 0.250 0.750 0.500
Bi 0.000 0.000 0.000